RbAcCrO4 | GGA+U | relaxed

Cell lengths 6.2816, 5.9683, 7.8683 Å; angles 90.00, 104.50, 90.00 degrees
Atoms (fractional coordinates):
1 Rb 0.1897 0.2500 0.4190
2 Rb 0.8103 0.7500 0.5810
3 Ac 0.2774 0.2500 0.9444
4 Ac 0.7226 0.7500 0.0556
5 Cr 0.2547 0.7500 0.1762
6 Cr 0.7453 0.2500 0.8238
7 O 0.0662 0.7500 0.3120
8 O 0.0840 0.7500 0.9557
9 O 0.4453 0.5185 0.1852
10 O 0.4453 0.9815 0.1852
11 O 0.5547 0.0185 0.8148
12 O 0.5547 0.4815 0.8148
13 O 0.9160 0.2500 0.0443
14 O 0.9338 0.2500 0.6880

Summary:
SG   P2_1/m
Energy   -6.876 eV/atom